This record from the Alexandria database describes crystalline YPtI2O at its relaxed geometry. The functional is GGA-PBE.

abc: 6.070 6.070 4.096
angles: 90.00 90.00 90.00
Space group P4/mmm (No. 123)
One atom of each set of equivalent atoms:
Y: 0.000 0.000 0.000 [1 per cell]
Pt: 0.500 0.500 0.500 [1 per cell]
I: 0.000 0.500 0.000 [2 per cell]
O: 0.000 0.000 0.500 [1 per cell]

Volume in A^3/atom: 30.19
Crystal system: tetragonal
Energy in eV per atom: -4.617
D(E_F) in states/eV/cell: 4.445
Size of the total moment in μB/f.u.: 0.83
Distance to the lowest polymorph of the same formula in meV/atom: 0
Formation energy without anion corrections in eV per formula unit: -2.52

=====

This record from the Alexandria database describes crystalline Pu2I2O at its relaxed geometry. The functional is GGA-PBE.

abc: 14.728 3.950 12.115
angles: 90.00 126.74 90.00
Space group C2/m (No. 12)
One atom of each set of equivalent atoms:
Pu: 0.043 0.000 0.177 [4 per cell]
Pu: 0.187 0.000 0.563 [4 per cell]
I: 0.034 0.500 0.675 [4 per cell]
I: 0.162 0.500 0.084 [4 per cell]
O: 0.212 0.000 0.389 [4 per cell]

Volume in A^3/atom: 28.24
Crystal system: monoclinic
Energy in eV per atom: -8.978
D(E_F) in states/eV/cell: 55.921
Size of the total moment in μB/f.u.: 12.00
Distance to the lowest polymorph of the same formula in meV/atom: 0
Formation energy without anion corrections in eV per formula unit: -8.17

=====

This record from the Alexandria database describes crystalline PuIO at its relaxed geometry. The functional is GGA-PBE.

abc: 3.9079 3.9079 5.2555
angles: 90.00 90.00 120.00
Space group P-6m2 (No. 187)
One atom of each set of equivalent atoms:
Pu: 0.0000 0.0000 0.0000 [1 per cell]
I: 0.6667 0.3333 0.5000 [1 per cell]
O: 0.3333 0.6667 0.0000 [1 per cell]

Volume in A^3/atom: 23.17
Crystal system: hexagonal
Energy in eV per atom: -8.997
D(E_F) in states/eV/cell: 7.630
Size of the total moment in μB/f.u.: 5.00
Formation energy without anion corrections in eV per formula unit: -6.15

=====

This record from the Alexandria database describes crystalline Pu2IO at its relaxed geometry. The functional is GGA-PBE.

abc: 3.388 3.388 7.546
angles: 90.00 90.00 90.00
Space group P4/mmm (No. 123)
One atom of each set of equivalent atoms:
Pu: 0.000 0.000 0.198 [2 per cell]
I: 0.500 0.500 0.500 [1 per cell]
O: 0.500 0.500 0.000 [1 per cell]

Volume in A^3/atom: 21.65
Crystal system: tetragonal
Energy in eV per atom: -9.724
D(E_F) in states/eV/cell: 12.218
Size of the total moment in μB/f.u.: 12.89
Distance to the lowest polymorph of the same formula in meV/atom: 0
Formation energy without anion corrections in eV per formula unit: -3.73

=====

This record from the Alexandria database describes crystalline Pu3IO3 at its relaxed geometry. The functional is GGA-PBE.

abc: 6.8320 6.8320 23.6454
angles: 90.00 90.00 120.00
Space group R-3 (No. 148, hexagonal axes)
One atom of each set of equivalent atoms:
Pu: 0.0023 0.3395 0.3918 [18 per cell]
I: 0.0000 0.0000 0.1665 [6 per cell]
O: 0.0030 0.3282 0.6269 [18 per cell]

Volume in A^3/atom: 22.76
Crystal system: trigonal
Energy in eV per atom: -10.884
D(E_F) in states/eV/cell: 112.978
Size of the total moment in μB/f.u.: 16.97
Formation energy without anion corrections in eV per formula unit: -16.77

=====

This record from the Alexandria database describes crystalline Pu2I3O at its relaxed geometry. The functional is GGA-PBE.

abc: 20.444 4.100 12.497
angles: 90.00 126.06 90.00
Space group C2/m (No. 12)
One atom of each set of equivalent atoms:
Pu: 0.068 0.000 0.459 [4 per cell]
Pu: 0.127 0.500 0.770 [4 per cell]
I: 0.033 0.500 0.239 [4 per cell]
I: 0.170 0.000 0.004 [4 per cell]
I: 0.214 0.500 0.623 [4 per cell]
O: 0.069 0.000 0.645 [4 per cell]

Volume in A^3/atom: 35.29
Crystal system: monoclinic
Energy in eV per atom: -8.030
D(E_F) in states/eV/cell: 58.565
Size of the total moment in μB/f.u.: 11.00
Formation energy without anion corrections in eV per formula unit: -9.91